(1)
Here is crystalline KLiPa2O6 at its relaxed geometry from the Alexandria database. Energies are from GGA-PBE.

Computed properties:
Theoretical density, g/cm3: 6.4
Total energy, eV per atom: -8.2707
SG: No. 146

Cell lengths 6.1467, 6.1467, 6.1467 Å; angles 58.15, 58.15, 58.15 degrees
Atoms (fractional coordinates):
1 O 0.5385 0.9432 0.3544
2 O 0.3544 0.5385 0.9432
3 Li 0.0064 0.0064 0.0064
4 O 0.8954 0.4189 0.9994
5 O 0.9994 0.8954 0.4189
6 K 0.4496 0.4496 0.4496
7 O 0.9432 0.3544 0.5385
8 Pa 0.6945 0.6945 0.6945
9 O 0.4189 0.9994 0.8954
10 Pa 0.2003 0.2003 0.2003

(2)
Here is crystalline Na3AcS4O12 at its relaxed geometry from the Alexandria database. Energies are from GGA-PBE.

Computed properties:
Theoretical density, g/cm3: 3.6
Total energy, eV per atom: -5.5066
SG: No. 155

Cell lengths 6.9075, 6.9075, 6.9075 Å; angles 105.18, 105.18, 105.18 degrees
Atoms (fractional coordinates):
1 O 0.9625 0.5000 0.0375
2 Ac 0.0000 0.0000 0.0000
3 O 0.5000 0.3692 0.6308
4 O 0.9865 0.2262 0.3472
5 O 0.5000 0.0375 0.9625
6 S 0.5000 0.5000 0.5000
7 O 0.7738 0.0135 0.6528
8 O 0.2262 0.3472 0.9865
9 S 0.1014 0.5000 0.8986
10 O 0.0375 0.9625 0.5000
11 O 0.3692 0.6308 0.5000
12 S 0.5000 0.8986 0.1014
13 O 0.3472 0.9865 0.2262
14 Na 0.5808 0.4192 0.0000
15 S 0.8986 0.1014 0.5000
16 O 0.0135 0.6528 0.7738
17 O 0.6308 0.5000 0.3692
18 Na 0.4192 0.0000 0.5808
19 Na 0.0000 0.5808 0.4192
20 O 0.6528 0.7738 0.0135

(3)
Here is crystalline NdHo2Rh9 at its relaxed geometry from the Alexandria database. Energies are from GGA-PBE.

Computed properties:
Energy of formation from the pure elements, eV per atom: -0.564
Theoretical density, g/cm3: 11.0
SG: No. 166

Cell lengths 5.2819, 5.2819, 9.2716 Å; angles 73.45, 73.45, 60.00 degrees
Atoms (fractional coordinates):
1 Rh 0.5836 0.0827 0.7501
2 Nd 0.0000 0.0000 0.0000
3 Rh 0.4164 0.9173 0.2499
4 Rh 0.4164 0.4164 0.2499
5 Ho 0.1394 0.1394 0.5817
6 Ho 0.8606 0.8606 0.4183
7 Rh 0.0827 0.5836 0.7501
8 Rh 0.5836 0.5836 0.7501
9 Rh 0.6669 0.6669 0.9992
10 Rh 0.9173 0.4164 0.2499
11 Rh 0.3331 0.3331 0.0008
12 Rh 0.5000 0.5000 0.5000

(4)
Here is crystalline PrDy3Ho7 at its relaxed geometry from the Alexandria database. Energies are from GGA-PBE.

Computed properties:
Energy of formation from the pure elements, eV per atom: 0.196
Theoretical density, g/cm3: 8.0
SG: No. 156
E above lowest polymorph, meV per atom: 48

Cell lengths 8.5880, 7.0365, 7.0365 Å; angles 120.00, 90.00, 90.00 degrees
Atoms (fractional coordinates):
1 Ho 0.1164 0.1675 0.3351
2 Ho 0.4483 0.8321 0.6642
3 Ho 0.4483 0.8321 0.1679
4 Dy 0.7851 0.9987 0.4993
5 Dy 0.7851 0.5007 0.0013
6 Pr 0.4465 0.3333 0.6667
7 Ho 0.1193 0.6667 0.3333
8 Dy 0.7851 0.5007 0.4993
9 Ho 0.1164 0.6649 0.8325
10 Ho 0.1164 0.1675 0.8325
11 Ho 0.4483 0.3358 0.1679

(5)
Here is crystalline Rb2LiCuPt at its relaxed geometry from the Alexandria database. Energies are from GGA-PBE.

Computed properties:
Energy of formation from the pure elements, eV per atom: 0.354
Theoretical density, g/cm3: 3.5
SG: No. 123

Cell lengths 6.5091, 6.5091, 4.8286 Å; angles 90.00, 90.00, 90.00 degrees
Atoms (fractional coordinates):
1 Cu 0.0000 0.0000 0.5000
2 Rb 0.0000 0.5000 0.0000
3 Pt 0.0000 0.0000 0.0000
4 Rb 0.5000 0.0000 0.0000
5 Li 0.5000 0.5000 0.5000

(6)
Here is crystalline RbLiTi2 at its relaxed geometry from the Alexandria database. Energies are from GGA-PBE.

Computed properties:
Energy of formation from the pure elements, eV per atom: 1.416
Theoretical density, g/cm3: 3.1
SG: No. 225
E above lowest polymorph, meV per atom: 337

Cell lengths 5.2408, 5.2408, 5.2408 Å; angles 60.00, 60.00, 60.00 degrees
Atoms (fractional coordinates):
1 Li 0.0000 0.0000 0.0000
2 Ti 0.2500 0.2500 0.2500
3 Ti 0.7500 0.7500 0.7500
4 Rb 0.5000 0.5000 0.5000

(7)
Here is crystalline Cs9Rb4Cd at its relaxed geometry from the Alexandria database. Energies are from GGA-PBE.

Computed properties:
Energy of formation from the pure elements, eV per atom: -0.003
Theoretical density, g/cm3: 2.0
SG: No. 194

Cell lengths 14.9105, 14.6717, 14.6717 Å; angles 120.00, 90.00, 90.00 degrees
Atoms (fractional coordinates):
1 Cs 0.4366 0.7882 0.2118
2 Cs 0.7500 0.5346 0.4654
3 Rb 0.7500 0.8873 0.7745
4 Rb 0.2500 0.1127 0.8873
5 Cs 0.9366 0.2118 0.4236
6 Cs 0.9366 0.5764 0.7882
7 Rb 0.7500 0.2255 0.1127
8 Rb 0.2500 0.1127 0.2255
9 Cs 0.9366 0.2118 0.7882
10 Cd 0.2500 0.6667 0.3333
11 Cs 0.5634 0.5764 0.7882
12 Rb 0.2500 0.7745 0.8873
13 Cs 0.0634 0.7882 0.5764
14 Cs 0.0634 0.7882 0.2118
15 Cs 0.4366 0.7882 0.5764
16 Rb 0.7500 0.8873 0.1127
17 Cs 0.2500 0.0693 0.5346
18 Cs 0.2500 0.4654 0.9307
19 Cd 0.7500 0.3333 0.6667
20 Cs 0.7500 0.9307 0.4654
21 Rb 0.0000 0.0000 0.0000
22 Cs 0.7500 0.5346 0.0693
23 Rb 0.5000 0.0000 0.0000
24 Cs 0.5634 0.2118 0.7882
25 Cs 0.4366 0.4236 0.2118
26 Cs 0.0634 0.4236 0.2118
27 Cs 0.5634 0.2118 0.4236
28 Cs 0.2500 0.4654 0.5346

(8)
Here is crystalline Sm6Zn3Co at its relaxed geometry from the Alexandria database. Energies are from GGA-PBE.

Computed properties:
Energy of formation from the pure elements, eV per atom: -0.131
Theoretical density, g/cm3: 7.4
SG: No. 14

Cell lengths 5.2759, 8.7477, 11.2028 Å; angles 90.00, 91.42, 90.00 degrees
Atoms (fractional coordinates):
1 Sm 0.5376 0.4897 0.2604
2 Sm 0.4624 0.5103 0.7396
3 Co 0.5000 0.5000 0.5000
4 Zn 0.5000 0.5000 0.0000
5 Zn 0.4621 0.1491 0.2665
6 Sm 0.0418 0.3444 0.4203
7 Zn 0.0379 0.6491 0.2335
8 Sm 0.4582 0.8444 0.0797
9 Sm 0.5303 0.1830 0.5758
10 Sm 0.5418 0.1556 0.9203
11 Sm 0.4697 0.8170 0.4242
12 Sm 0.9624 0.9897 0.2396
13 Zn 0.0000 0.0000 0.5000
14 Co 0.0000 0.0000 0.0000
15 Sm 0.9582 0.6556 0.5797
16 Zn 0.9621 0.3509 0.7665
17 Sm 0.0376 0.0103 0.7604
18 Sm 0.0303 0.3170 0.0758
19 Sm 0.9697 0.6830 0.9242
20 Zn 0.5379 0.8509 0.7335

(9)
Here is crystalline Mn2HgBi at its relaxed geometry from the Alexandria database. Energies are from GGA-PBE.

Computed properties:
Energy of formation from the pure elements, eV per atom: 0.631
Theoretical density, g/cm3: 8.9
SG: No. 122
E above lowest polymorph, meV per atom: 0

Cell lengths 4.5730, 4.5730, 9.7994 Å; angles 76.51, 76.51, 90.00 degrees
Atoms (fractional coordinates):
1 Mn 0.8750 0.8493 0.7500
2 Hg 0.2500 0.7500 0.5000
3 Mn 0.1507 0.6250 0.2500
4 Bi 0.7500 0.2500 0.5000
5 Hg 0.5000 0.5000 0.0000
6 Mn 0.3750 0.4007 0.7500
7 Mn 0.5993 0.1250 0.2500
8 Bi 0.0000 0.0000 0.0000

(10)
Here is crystalline ZrNbAl2 at its relaxed geometry from the Alexandria database. Energies are from GGA-PBE.

Computed properties:
Energy of formation from the pure elements, eV per atom: -0.253
Theoretical density, g/cm3: 5.4
SG: No. 123
E above lowest polymorph, meV per atom: 109

Cell lengths 3.5288, 3.5288, 5.8297 Å; angles 90.00, 90.00, 90.00 degrees
Atoms (fractional coordinates):
1 Al 0.0000 0.0000 0.7709
2 Zr 0.5000 0.5000 0.5000
3 Al 0.0000 0.0000 0.2291
4 Nb 0.5000 0.5000 0.0000

(11)
Here is crystalline Nd2DyHg6 at its relaxed geometry from the Alexandria database. Energies are from GGA-PBE.

Computed properties:
Energy of formation from the pure elements, eV per atom: -0.414
Theoretical density, g/cm3: 12.1
SG: No. 191

Cell lengths 3.4732, 8.7058, 8.7058 Å; angles 120.00, 90.00, 90.00 degrees
Atoms (fractional coordinates):
1 Dy 0.0000 0.0000 0.0000
2 Hg 0.5000 0.0000 0.6691
3 Hg 0.5000 0.0000 0.3309
4 Hg 0.5000 0.6691 0.6691
5 Hg 0.5000 0.3309 0.3309
6 Nd 0.0000 0.6667 0.3333
7 Hg 0.5000 0.6691 0.0000
8 Hg 0.5000 0.3309 0.0000
9 Nd 0.0000 0.3333 0.6667

(12)
Here is crystalline TiGaNi4 at its relaxed geometry from the Alexandria database. Energies are from GGA-PBE.

Computed properties:
Energy of formation from the pure elements, eV per atom: -0.377
Theoretical density, g/cm3: 8.1
SG: No. 12

Cell lengths 3.4369, 4.5257, 5.8403 Å; angles 105.45, 72.89, 67.68 degrees
Atoms (fractional coordinates):
1 Ni 0.1676 0.4991 0.1658
2 Ti 0.0000 0.0000 0.0000
3 Ni 0.8324 0.5009 0.8342
4 Ni 0.6687 0.9956 0.6671
5 Ni 0.3313 0.0044 0.3329
6 Ga 0.5000 0.5000 0.5000

> What is the formula in the first record?

KLiPa2O6